The following is a PBE with a Hubbard U calculation of a relaxed V2CoP2H8O14 crystal, from Alexandria.

abc: 6.348 6.348 8.090
angles: 66.90 113.10 90.00
Site moments in Bohr magnetons follow the coordinates.
Fractional positions:
O 0.659 0.623 0.363  0.00
O 0.341 0.377 0.637  0.00
O 0.623 0.704 0.637  0.00
O 0.818 0.730 0.000  0.04
O 0.182 0.270 0.000  0.04
O 0.704 0.014 0.363  0.00
O 0.377 0.296 0.363  0.00
O 0.156 0.844 0.312  -0.10
O 0.296 0.986 0.637  0.00
O 0.270 0.818 0.000  0.04
O 0.014 0.659 0.637  0.00
O 0.986 0.341 0.363  0.00
O 0.730 0.182 0.000  0.04
O 0.844 0.156 0.688  -0.10
H 0.112 0.419 0.880  0.00
H 0.581 0.233 0.880  0.00
H 0.233 0.299 0.120  0.00
H 0.701 0.112 0.120  0.00
H 0.299 0.888 0.880  0.00
H 0.419 0.767 0.120  0.00
H 0.888 0.581 0.120  0.00
H 0.767 0.701 0.880  0.00
P 0.750 0.750 0.500  0.00
P 0.250 0.250 0.500  0.00
Co 0.000 0.000 0.000  2.71
V 0.722 0.278 0.444  1.09
V 0.278 0.722 0.556  1.09

## Properties
Crystal system: tetragonal
Total energy in eV per atom: -6.296
Symmetry: No. 87